LiBeNi2: relaxed, PBE-GGA.

Results
Raw total energy in eV/f.u.: -17.99
Calculated volume in Å³/atom: 10.43
Total magnetic moment in μB per cell: 0.0

abc: 2.506 2.506 6.645
angles: 90.00 90.00 90.00
Fractional coordinates of all 4 atoms:
1 Li 0.000 0.000 0.000
2 Be 0.000 0.000 0.500
3 Ni 0.500 0.500 0.292
4 Ni 0.500 0.500 0.708